[1]
Computed, not measured: crystalline HfTl3V2Te6 at its relaxed geometry at the PBE level of DFT.

Crystal system = monoclinic
Formation energy from raw total energies = -0.41 eV/atom
Space-group type = C2/m (12)

a b c (Å): 7.0620 7.0620 8.3499
angles (deg): 90.01 90.01 120.11
Fractional positions:
1 Hf 0.0000 0.0000 0.0000
2 Tl 0.0000 0.0000 0.5000
3 Tl 0.3329 0.6671 0.5000
4 Tl 0.6671 0.3329 0.5000
5 V 0.3338 0.6662 0.0000
6 V 0.6662 0.3338 0.0000
7 Te 0.9998 0.3433 0.1908
8 Te 0.0002 0.6567 0.8092
9 Te 0.3433 0.9998 0.1908
10 Te 0.3435 0.3435 0.8084
11 Te 0.6567 0.0002 0.8092
12 Te 0.6565 0.6565 0.1916

***

[2]
Computed, not measured: crystalline AlCuNi at its relaxed geometry at the PBE level of DFT.

Crystal system = orthorhombic
Distance to the lowest polymorph of the same formula = 0.054 eV/atom
ΔH_f (0 K) = -0.349 eV/atom
Space-group type = Pnma (62)

a b c (Å): 6.0620 2.8697 8.4037
angles (deg): 90.00 90.00 90.00
Fractional positions:
1 Al 0.1277 0.2500 0.2391
2 Al 0.3723 0.7500 0.7391
3 Al 0.6277 0.2500 0.2609
4 Al 0.8723 0.7500 0.7609
5 Cu 0.1443 0.2500 0.9263
6 Cu 0.3557 0.7500 0.4263
7 Cu 0.6443 0.2500 0.5737
8 Cu 0.8557 0.7500 0.0737
9 Ni 0.1051 0.2500 0.5980
10 Ni 0.3949 0.7500 0.0980
11 Ni 0.6051 0.2500 0.9020
12 Ni 0.8949 0.7500 0.4020

***

[3]
Computed, not measured: crystalline BaNd4Bi3O12 at its relaxed geometry at the PBE level of DFT.

Crystal system = cubic
Formation energy from raw total energies = -2.26 eV/atom
Space-group type = Im-3 (204)

a b c (Å): 7.6796 7.6796 7.6796
angles (deg): 109.47 109.47 109.47
Fractional positions:
1 Ba 0.0000 0.0000 0.0000
2 Nd 0.0000 0.0000 0.5000
3 Nd 0.0000 0.5000 0.0000
4 Nd 0.5000 0.0000 0.0000
5 Nd 0.5000 0.5000 0.5000
6 Bi 0.0000 0.5000 0.5000
7 Bi 0.5000 0.0000 0.5000
8 Bi 0.5000 0.5000 0.0000
9 O 0.1345 0.3093 0.8252
10 O 0.1748 0.4842 0.3093
11 O 0.1748 0.8655 0.6907
12 O 0.3093 0.1748 0.4842
13 O 0.3093 0.8252 0.1345
14 O 0.4842 0.3093 0.1748
15 O 0.5158 0.6907 0.8252
16 O 0.6907 0.1748 0.8655
17 O 0.6907 0.8252 0.5158
18 O 0.8252 0.1345 0.3093
19 O 0.8252 0.5158 0.6907
20 O 0.8655 0.6907 0.1748

***

Number 1: E -59.0 eV per cell. Number 2: E -58.7 eV per cell. Number 3: E -137.3 eV per cell.